1.
Material: Zr3Ag
Method: DFT, GGA-PBEsol
State: optimized geometry

## Properties
DOS at the Fermi energy = 4.5 states/eV per cell
Energy of formation = -0.02 eV per atom
Volume = 82.7 Å³ per cell
Space-group type = Imm2, No. 44

Unit cell a=3.145 b=5.325 c=5.825 alpha=117.19 beta=105.66 gamma=90.00
Sites, in units of the cell vectors:
1 Zr 0.731 0.379 0.462
2 Zr 0.269 0.917 0.538
3 Zr 0.500 0.539 0.000
4 Ag 0.000 0.997 0.000



2.
Material: Dy7Cu3Te12
Method: DFT, GGA-PBEsol
State: optimized geometry

## Properties
DOS at the Fermi energy = 0.2 states/eV per cell
Volume = 647.4 Å³ per cell
Formation energy without anion corrections = -1.10 eV/atom
Space-group type = P1, No. 1

Unit cell a=7.369 b=7.373 c=13.962 alpha=95.11 beta=94.76 gamma=119.97
Sites, in units of the cell vectors:
1 Cu 0.806 0.811 0.423
2 Cu 0.865 0.528 0.585
3 Cu 0.471 0.140 0.423
4 Te 0.628 0.962 0.875
5 Te 0.532 0.197 0.616
6 Te 0.214 0.537 0.613
7 Te 0.807 0.463 0.387
8 Te 0.952 0.625 0.877
9 Te 0.128 0.142 0.386
10 Te 0.449 0.784 0.388
11 Te 0.379 0.047 0.123
12 Te 0.040 0.375 0.126
13 Te 0.290 0.285 0.875
14 Te 0.873 0.879 0.616
15 Te 0.712 0.707 0.123
16 Dy 0.920 0.256 0.745
17 Dy 0.421 0.420 0.254
18 Dy 0.331 0.663 0.998
19 Dy 0.090 0.761 0.254
20 Dy 0.745 0.076 0.254
21 Dy 0.245 0.905 0.745
22 Dy 0.579 0.581 0.745



3.
Material: FeNiOs
Method: DFT, GGA-PBEsol
State: optimized geometry

## Properties
DOS at the Fermi energy = 3.2 states/eV per cell
Energy relative to the lowest polymorph listed for this composition = 74.6 meV/atom
Energy of formation = 0.14 eV per atom
Volume = 35.1 Å³ per cell
Space-group type = I4mm, No. 107

Unit cell a=2.597 b=2.597 c=5.520 alpha=103.60 beta=103.60 gamma=90.00
Each line ends with the local moment (μB).
Sites, in units of the cell vectors:
1 Fe 0.000 0.000 0.000  1.27
2 Ni 0.662 0.662 0.324  0.32
3 Os 0.338 0.338 0.676  -0.17



4.
Material: ZrAgIr3
Method: DFT, GGA-PBEsol
State: optimized geometry

## Properties
DOS at the Fermi energy = 6.4 states/eV per cell
Energy of formation = 1.76 eV per atom
Volume = 100.7 Å³ per cell
Space-group type = Pm-3m, No. 221

Unit cell a=4.653 b=4.653 c=4.653 alpha=90.00 beta=90.00 gamma=90.00
Sites, in units of the cell vectors:
1 Ir 0.500 0.000 0.000
2 Ir 0.000 0.000 0.500
3 Ir 0.000 0.500 0.000
4 Zr 0.500 0.500 0.500
5 Ag 0.000 0.000 0.000



5.
Material: KMgAsH12O10
Method: DFT, GGA-PBEsol
State: optimized geometry

## Properties
DOS at the Fermi energy = 0.0 states/eV per cell
Volume = 488.5 Å³ per cell
Space-group type = Pmn2_1, No. 31
DFT total energy = -5.308 eV per atom

Unit cell a=6.233 b=7.161 c=10.944 alpha=90.00 beta=90.00 gamma=90.00
Sites, in units of the cell vectors:
1 O 0.130 0.197 0.039
2 O 0.521 0.706 0.994
3 O 0.658 0.000 0.289
4 O 0.996 0.000 0.830
5 O 0.479 0.794 0.494
6 O 0.521 0.294 0.994
7 O 0.253 0.500 0.545
8 O 0.130 0.803 0.039
9 O 0.004 0.500 0.330
10 O 0.870 0.697 0.539
11 O 0.342 0.500 0.789
12 O 0.743 0.718 0.764
13 O 0.099 0.000 0.500
14 O 0.479 0.206 0.494
15 O 0.257 0.218 0.264
16 O 0.747 0.000 0.045
17 O 0.901 0.500 0.000
18 O 0.870 0.303 0.539
19 O 0.743 0.282 0.764
20 O 0.257 0.782 0.264
21 H 0.205 0.805 0.178
22 H 0.692 0.897 0.233
23 H 0.308 0.397 0.733
24 H 0.611 0.177 0.010
25 H 0.158 0.679 0.294
26 H 0.158 0.321 0.294
27 H 0.389 0.323 0.510
28 H 0.995 0.614 0.011
29 H 0.365 0.747 0.002
30 H 0.635 0.247 0.502
31 H 0.205 0.195 0.178
32 H 0.842 0.179 0.794
33 H 0.842 0.821 0.794
34 H 0.365 0.253 0.002
35 H 0.995 0.386 0.011
36 H 0.005 0.114 0.511
37 H 0.795 0.695 0.678
38 H 0.611 0.823 0.010
39 H 0.692 0.103 0.233
40 H 0.005 0.886 0.511
41 H 0.308 0.603 0.733
42 H 0.635 0.753 0.502
43 H 0.795 0.305 0.678
44 H 0.389 0.677 0.510
45 Mg 0.356 0.000 0.380
46 Mg 0.644 0.500 0.880
47 As 0.002 0.000 0.987
48 As 0.998 0.500 0.487
49 K 0.403 0.000 0.704
50 K 0.597 0.500 0.204



6.
Material: Nb3NiB
Method: DFT, GGA-PBEsol
State: optimized geometry

## Properties
DOS at the Fermi energy = 6.3 states/eV per cell
Energy of formation = 0.21 eV per atom
Volume = 77.7 Å³ per cell
Space-group type = Pm-3m, No. 221

Unit cell a=4.266 b=4.266 c=4.266 alpha=90.00 beta=90.00 gamma=90.00
Sites, in units of the cell vectors:
1 Nb 0.000 0.000 0.500
2 Nb 0.000 0.500 0.000
3 Nb 0.500 0.000 0.000
4 Ni 0.500 0.500 0.500
5 B 0.000 0.000 0.000



Question: Which formula does entry 5 have?
Answer: KMgAsH12O10



What did the fifth record say?
Material: KMgAsH12O10
Method: DFT, GGA-PBEsol
State: optimized geometry

## Properties
DOS at the Fermi energy = 0.0 states/eV per cell
Volume = 488.5 Å³ per cell
Space-group type = Pmn2_1, No. 31
DFT total energy = -5.308 eV per atom

Unit cell a=6.233 b=7.161 c=10.944 alpha=90.00 beta=90.00 gamma=90.00
Sites, in units of the cell vectors:
1 O 0.130 0.197 0.039
2 O 0.521 0.706 0.994
3 O 0.658 0.000 0.289
4 O 0.996 0.000 0.830
5 O 0.479 0.794 0.494
6 O 0.521 0.294 0.994
7 O 0.253 0.500 0.545
8 O 0.130 0.803 0.039
9 O 0.004 0.500 0.330
10 O 0.870 0.697 0.539
11 O 0.342 0.500 0.789
12 O 0.743 0.718 0.764
13 O 0.099 0.000 0.500
14 O 0.479 0.206 0.494
15 O 0.257 0.218 0.264
16 O 0.747 0.000 0.045
17 O 0.901 0.500 0.000
18 O 0.870 0.303 0.539
19 O 0.743 0.282 0.764
20 O 0.257 0.782 0.264
21 H 0.205 0.805 0.178
22 H 0.692 0.897 0.233
23 H 0.308 0.397 0.733
24 H 0.611 0.177 0.010
25 H 0.158 0.679 0.294
26 H 0.158 0.321 0.294
27 H 0.389 0.323 0.510
28 H 0.995 0.614 0.011
29 H 0.365 0.747 0.002
30 H 0.635 0.247 0.502
31 H 0.205 0.195 0.178
32 H 0.842 0.179 0.794
33 H 0.842 0.821 0.794
34 H 0.365 0.253 0.002
35 H 0.995 0.386 0.011
36 H 0.005 0.114 0.511
37 H 0.795 0.695 0.678
38 H 0.611 0.823 0.010
39 H 0.692 0.103 0.233
40 H 0.005 0.886 0.511
41 H 0.308 0.603 0.733
42 H 0.635 0.753 0.502
43 H 0.795 0.305 0.678
44 H 0.389 0.677 0.510
45 Mg 0.356 0.000 0.380
46 Mg 0.644 0.500 0.880
47 As 0.002 0.000 0.987
48 As 0.998 0.500 0.487
49 K 0.403 0.000 0.704
50 K 0.597 0.500 0.204



Question: DOS at the Fermi energy of number 3 (FeNiOs)?
Answer: 3.2 states/eV per cell



Question: What is the formula in the third record?
Answer: FeNiOs